Entry 1:
# Ti5Nb2Co2Tc (PBE, optimized geometry)
data_Ti5Nb2Co2Tc
_chemical_formula_sum 'Ti10 Nb4 Co4 Tc2'
_symmetry_space_group_name_H-M 'P 4/m b m'
_symmetry_Int_Tables_number 127
_symmetry_space_group_name_Hall '-P 4 2ab'
_cell_length_a 10.086
_cell_length_b 10.086
_cell_length_c 3.089
_cell_angle_alpha 90.00
_cell_angle_beta 90.00
_cell_angle_gamma 90.00
loop_
_atom_site_label
_atom_site_type_symbol
_atom_site_fract_x
_atom_site_fract_y
_atom_site_fract_z
_atom_site_occupancy
Ti1 Ti 0.000 0.500 0.000 1
Ti2 Ti 0.058 0.202 0.000 1
Nb1 Nb 0.178 0.678 0.500 1
Co1 Co 0.127 0.373 0.500 1
Tc1 Tc 0.000 0.000 0.500 1
# * density of states at the Fermi level: 21.05 states/eV per cell
# * E_form: -0.225 eV per atom
# * size of the total moment: 0.00 μB/f.u.
# * calculated total energy: -0.318 Ha/atom


Entry 2:
# Pm5Pr2Nd4 (PBE, optimized geometry)
data_Pm5Pr2Nd4
_chemical_formula_sum 'Pm10 Pr4 Nd8'
_symmetry_space_group_name_H-M 'I m m m'
_symmetry_Int_Tables_number 71
_symmetry_space_group_name_Hall '-I 2 2'
_cell_length_a 3.579
_cell_length_b 9.421
_cell_length_c 23.644
_cell_angle_alpha 90.00
_cell_angle_beta 90.00
_cell_angle_gamma 90.00
loop_
_atom_site_label
_atom_site_type_symbol
_atom_site_fract_x
_atom_site_fract_y
_atom_site_fract_z
_atom_site_occupancy
Pm1 Pm 0.000 0.000 0.000 1
Pm2 Pm 0.000 0.304 0.355 1
Pr1 Pr 0.000 0.500 0.231 1
Nd1 Nd 0.000 0.200 0.500 1
Nd2 Nd 0.000 0.500 0.096 1
# * density of states at the Fermi level: 31.93 states/eV per cell
# * E_form: 0.208 eV per atom
# * size of the total moment: 0.00 μB/f.u.
# * calculated total energy: -0.167 Ha/atom


Entry 3:
# UVS (PBE, optimized geometry)
data_UVS
_chemical_formula_sum 'U16 V16 S16'
_symmetry_space_group_name_H-M 'F d d d'
_symmetry_Int_Tables_number 70
_cell_length_a 6.867
_cell_length_b 10.195
_cell_length_c 11.812
_cell_angle_alpha 90.00
_cell_angle_beta 90.00
_cell_angle_gamma 90.00
loop_
_symmetry_equiv_pos_as_xyz
'x,y,z'
'-x,-y,-z'
'-x+1/4,-y+1/4,z'
'x+1/4,y+1/4,-z'
'x,-y+1/4,-z+1/4'
'-x,y+1/4,z+1/4'
'-x+1/4,y,-z+1/4'
'x+1/4,-y,z+1/4'
'x,y+1/2,z+1/2'
'-x,-y+1/2,-z+1/2'
'-x+1/4,-y+3/4,z+1/2'
'x+1/4,y+3/4,-z+1/2'
'x,-y+3/4,-z+3/4'
'-x,y+3/4,z+3/4'
'-x+1/4,y+1/2,-z+3/4'
'x+1/4,-y+1/2,z+3/4'
'x+1/2,y,z+1/2'
'-x+1/2,-y,-z+1/2'
'-x+3/4,-y+1/4,z+1/2'
'x+3/4,y+1/4,-z+1/2'
'x+1/2,-y+1/4,-z+3/4'
'-x+1/2,y+1/4,z+3/4'
'-x+3/4,y,-z+3/4'
'x+3/4,-y,z+3/4'
'x+1/2,y+1/2,z'
'-x+1/2,-y+1/2,-z'
'-x+3/4,-y+3/4,z'
'x+3/4,y+3/4,-z'
'x+1/2,-y+3/4,-z+1/4'
'-x+1/2,y+3/4,z+1/4'
'-x+3/4,y+1/2,-z+1/4'
'x+3/4,-y+1/2,z+1/4'
loop_
_atom_site_label
_atom_site_type_symbol
_atom_site_fract_x
_atom_site_fract_y
_atom_site_fract_z
_atom_site_occupancy
U1 U 0.000 0.000 0.000 1
V1 V 0.125 0.125 0.496 1
S1 S 0.125 0.294 0.625 1
# * density of states at the Fermi level: 84.87 states/eV per cell
# * size of the total moment: 1.78 μB/f.u.
# * calculated total energy: -0.316 Ha/atom


Entry 4:
# Ba2LaUSe6 (PBE, optimized geometry)
data_Ba2LaUSe6
_chemical_formula_sum 'Ba4 La2 U2 Se12'
_symmetry_space_group_name_H-M 'P 1 21/c 1'
_symmetry_Int_Tables_number 14
_cell_length_a 7.548
_cell_length_b 8.019
_cell_length_c 13.273
_cell_angle_alpha 90.00
_cell_angle_beta 124.32
_cell_angle_gamma 90.00
loop_
_symmetry_equiv_pos_as_xyz
'x,y,z'
'-x,-y,-z'
'-x,y+1/2,-z+1/2'
'x,-y+1/2,z+1/2'
loop_
_atom_site_label
_atom_site_type_symbol
_atom_site_fract_x
_atom_site_fract_y
_atom_site_fract_z
_atom_site_occupancy
Ba1 Ba 0.225 0.076 0.250 1
La1 La 0.500 0.000 0.000 1
U1 U 0.000 0.000 0.500 1
Se1 Se 0.129 0.209 0.946 1
Se2 Se 0.244 0.689 0.949 1
Se3 Se 0.340 0.027 0.740 1
# * density of states at the Fermi level: 0.39 states/eV per cell
# * size of the total moment: 1.00 μB/f.u.
# * calculated total energy: -0.214 Ha/atom